Record 1
A relaxed structure of PuNbIr2, computed with PBE-GGA.

Structure (POSCAR):
```
PuNbIr2
1.0
0.0000 3.3130 3.3130
3.3130 0.0000 3.3130
3.3130 3.3130 0.0000
Pu Nb Ir
1 1 2
direct
0.0000 0.0000 0.0000
0.5000 0.5000 0.5000
0.2500 0.2500 0.2500
0.7500 0.7500 0.7500
```

Values from the calculation:
The size of the total moment is 1.15 μB per atom. The calculation puts the energy relative to the lowest polymorph listed for this composition at 0.188 eV per atom. Its formation energy is -218 meV per atom. The calculation puts the density of states at the Fermi level at 8.9 states/eV/cell.

Record 2
A relaxed structure of PuNbIr2, computed with PBE-GGA.

Structure (POSCAR):
```
PuNbIr2
1.0
4.2139 0.0000 0.0000
0.0000 4.2139 0.0000
0.0000 0.0000 3.9789
Pu Nb Ir
1 1 2
direct
0.0000 0.0000 0.0000
0.5000 0.5000 0.0000
0.0000 0.5000 0.5000
0.5000 0.0000 0.5000
```

Values from the calculation:
The size of the total moment is 0.99 μB per atom. The calculation puts the energy relative to the lowest polymorph listed for this composition at 0.169 eV per atom. Its formation energy is -236 meV per atom. The calculation puts the density of states at the Fermi level at 11.4 states/eV/cell.

Record 3
A relaxed structure of PuNbIr2, computed with PBE-GGA.

Structure (POSCAR):
```
PuNbIr2
1.0
2.9959 0.0000 0.0000
0.0000 2.9959 0.0000
0.0000 0.0000 7.9278
Pu Nb Ir
1 1 2
direct
0.0000 0.0000 0.0000
0.0000 0.0000 0.5000
0.5000 0.5000 0.2767
0.5000 0.5000 0.7233
```

Values from the calculation:
The size of the total moment is 1.16 μB per atom. The calculation puts the energy relative to the lowest polymorph listed for this composition at 0.000 eV per atom. Its formation energy is -405 meV per atom. The calculation puts the density of states at the Fermi level at 7.6 states/eV/cell.

Record 4
A relaxed structure of PuNbIr, computed with PBE-GGA.

Structure (POSCAR):
```
PuNbIr
1.0
-3.9633 6.3734 3.5909
3.9633 -6.3734 3.5909
3.9633 6.3734 -3.5909
Pu Nb Ir
6 6 6
direct
0.0095 0.2500 0.2595
0.1279 0.1040 0.5239
0.1836 0.6345 0.0491
0.5801 0.6040 0.4761
0.5854 0.1345 0.9509
0.9905 0.7500 0.7405
0.3443 0.3443 0.0000
0.3443 0.8443 0.5000
0.5823 0.1648 0.3369
0.5823 0.7454 0.9175
0.8279 0.2454 0.6631
0.8279 0.6648 0.0825
0.2517 0.0790 0.1560
0.2517 0.5957 0.6726
0.5444 0.3314 0.7130
0.6184 0.8314 0.2870
0.9230 0.0957 0.8440
0.9230 0.5790 0.3274
```

Values from the calculation:
The size of the total moment is 0.58 μB per atom. Its formation energy is -214 meV per atom. The calculation puts the density of states at the Fermi level at 52.9 states/eV/cell.

Record 5
A relaxed structure of Pu2NbSi4Ir3, computed with PBE-GGA.

Structure (POSCAR):
```
Pu2NbSi4Ir3
1.0
4.1147 0.0000 0.0000
0.0000 4.1147 0.0000
0.0000 0.0000 10.3970
Pu Nb Si Ir
2 1 4 3
direct
0.0000 0.5000 0.2427
0.5000 0.0000 0.7573
0.0000 0.0000 0.5000
0.0000 0.0000 0.0000
0.0000 0.5000 0.6480
0.5000 0.0000 0.3520
0.5000 0.5000 0.0000
0.0000 0.5000 0.8784
0.5000 0.0000 0.1216
0.5000 0.5000 0.5000
```

Values from the calculation:
The calculation puts the uncorrected formation energy at -0.7227 eV per atom. The size of the total moment is 1.02 μB per atom. The calculation puts the density of states at the Fermi level at 21.4 states/eV/cell.

Record 6
A relaxed structure of PuUNbIr, computed with PBE-GGA.

Structure (POSCAR):
```
PuUNbIr
1.0
0.0000 3.3443 3.3443
3.3443 0.0000 3.3443
3.3443 3.3443 0.0000
Pu U Nb Ir
1 1 1 1
direct
0.0000 0.0000 0.0000
0.2500 0.2500 0.2500
0.5000 0.5000 0.5000
0.7500 0.7500 0.7500
```

Values from the calculation:
The size of the total moment is 1.42 μB per atom. Its formation energy is -124 meV per atom. The calculation puts the density of states at the Fermi level at 8.5 states/eV/cell.

Record 7
A relaxed structure of PuZrNbIr, computed with PBE-GGA.

Structure (POSCAR):
```
PuZrNbIr
1.0
0.0000 3.3841 3.3841
3.3841 0.0000 3.3841
3.3841 3.3841 0.0000
Pu Zr Nb Ir
1 1 1 1
direct
0.0000 0.0000 0.0000
0.5000 0.5000 0.5000
0.7500 0.7500 0.7500
0.2500 0.2500 0.2500
```

Values from the calculation:
The size of the total moment is 1.03 μB per atom. Its formation energy is -226 meV per atom. The calculation puts the density of states at the Fermi level at 6.2 states/eV/cell.

Record 8
A relaxed structure of RbNb2Ir, computed with PBE-GGA.

Structure (POSCAR):
```
RbNb2Ir
1.0
0.0000 3.3532 3.3532
3.3532 0.0000 3.3532
3.3532 3.3532 0.0000
Rb Nb Ir
1 2 1
direct
0.0000 0.0000 0.0000
0.2500 0.2500 0.2500
0.7500 0.7500 0.7500
0.5000 0.5000 0.5000
```

Values from the calculation:
The size of the total moment is 0.00 μB per atom. The calculation puts the energy relative to the lowest polymorph listed for this composition at 0.000 eV per atom. Its formation energy is 1079 meV per atom. The calculation puts the density of states at the Fermi level at 2.8 states/eV/cell.

Record 9
A relaxed structure of RbNb2Ir, computed with PBE-GGA.

Structure (POSCAR):
```
RbNb2Ir
1.0
-2.6352 2.6352 8.8419
2.6352 -2.6352 8.8419
2.6352 2.6352 -8.8419
Rb Nb Ir
2 4 2
direct
0.0000 0.0000 0.0000
0.7500 0.2500 0.5000
0.3648 0.6250 0.2398
0.3750 0.6148 0.7398
0.3852 0.1250 0.7602
0.8750 0.6352 0.2602
0.2500 0.7500 0.5000
0.5000 0.5000 0.0000
```

Values from the calculation:
The size of the total moment is 0.00 μB per atom. The calculation puts the energy relative to the lowest polymorph listed for this composition at 0.192 eV per atom. Its formation energy is 1271 meV per atom. The calculation puts the density of states at the Fermi level at 11.1 states/eV/cell.

Record 10
A relaxed structure of RbNb3Ir, computed with PBE-GGA.

Structure (POSCAR):
```
RbNb3Ir
1.0
4.6967 0.0000 0.0000
0.0000 4.6967 0.0000
0.0000 0.0000 4.6967
Rb Nb Ir
1 3 1
direct
0.0000 0.0000 0.0000
0.0000 0.0000 0.5000
0.0000 0.5000 0.0000
0.5000 0.0000 0.0000
0.5000 0.5000 0.5000
```

Values from the calculation:
The size of the total moment is 0.00 μB per atom. Its formation energy is 2873 meV per atom. The calculation puts the density of states at the Fermi level at 8.5 states/eV/cell.

Record 11
A relaxed structure of RbNbIr3, computed with PBE-GGA.

Structure (POSCAR):
```
RbNbIr3
1.0
4.7298 0.0000 0.0000
0.0000 4.7298 0.0000
0.0000 0.0000 4.7298
Rb Nb Ir
1 1 3
direct
0.0000 0.0000 0.0000
0.5000 0.5000 0.5000
0.0000 0.0000 0.5000
0.0000 0.5000 0.0000
0.5000 0.0000 0.0000
```

Values from the calculation:
The size of the total moment is 0.00 μB per atom. The calculation puts the energy relative to the lowest polymorph listed for this composition at 1.917 eV per atom. Its formation energy is 3152 meV per atom. The calculation puts the density of states at the Fermi level at 9.0 states/eV/cell.

Record 12
A relaxed structure of RbNbIr3, computed with PBE-GGA.

Structure (POSCAR):
```
RbNbIr3
1.0
4.9210 0.0000 0.0000
0.0000 4.9210 0.0000
0.0000 0.0000 4.9210
Rb Nb Ir
1 1 3
direct
0.0000 0.0000 0.0000
0.5000 0.5000 0.5000
0.0000 0.5000 0.5000
0.5000 0.0000 0.5000
0.5000 0.5000 0.0000
```

Values from the calculation:
The size of the total moment is 0.00 μB per atom. The calculation puts the energy relative to the lowest polymorph listed for this composition at 0.000 eV per atom. Its formation energy is 1235 meV per atom. The calculation puts the density of states at the Fermi level at 4.1 states/eV/cell.

Record 13
A relaxed structure of RbNbTcIr2, computed with PBE-GGA.

Structure (POSCAR):
```
RbNbTcIr2
1.0
4.9451 0.0000 0.0000
0.0000 4.9451 0.0000
0.0000 0.0000 4.9170
Rb Nb Tc Ir
1 1 1 2
direct
0.0000 0.0000 0.0000
0.5000 0.5000 0.5000
0.5000 0.5000 0.0000
0.0000 0.5000 0.5000
0.5000 0.0000 0.5000
```

Values from the calculation:
The size of the total moment is 0.50 μB per atom. Its formation energy is 1380 meV per atom. The calculation puts the density of states at the Fermi level at 3.1 states/eV/cell.

Record 14
A relaxed structure of Rb2NbVIr, computed with PBE-GGA.

Structure (POSCAR):
```
Rb2NbVIr
1.0
6.7744 0.0000 0.0000
0.0000 6.7744 0.0000
0.0000 0.0000 4.6969
Rb Nb V Ir
2 1 1 1
direct
0.0000 0.5000 0.0000
0.5000 0.0000 0.0000
0.0000 0.0000 0.0000
0.5000 0.5000 0.5000
0.0000 0.0000 0.5000
```

Values from the calculation:
The size of the total moment is 0.49 μB per atom. Its formation energy is 1775 meV per atom. The calculation puts the density of states at the Fermi level at 9.9 states/eV/cell.

| no. | uncorrected energy (eV/atom) |
| --- | --- |
| 1 | -10.749 |
| 2 | -10.767 |
| 3 | -10.936 |
| 4 | -11.302 |
| 5 | -9.424 |
| 6 | -11.262 |
| 7 | -10.679 |
| 8 | -6.413 |
| 9 | -6.221 |
| 10 | -5.135 |
| 11 | -4.372 |
| 12 | -6.289 |
| 13 | -6.445 |
| 14 | -4.222 |